No. 1
The following is a DFT calculation (GGA+U) of a relaxed NbNiN2F crystal.

abc: 4.0771 4.0771 4.0276
angles: 90.00 90.00 90.00
With the nearest neighbours (Å) after each atom.
Element x y z (fractional)
1 Nb 0.0000 0.0000 0.0000  2 F 2.01, 4 N 2.04
2 Ni 0.5000 0.5000 0.5000  8 N 2.87, 4 F 2.88
3 N 0.0000 0.5000 0.0000  2 Nb 2.04
4 N 0.5000 0.0000 0.0000  2 Nb 2.04
5 F 0.0000 0.0000 0.5000  2 Nb 2.01

The spin magnetization is 1.62 Bohr magnetons per cell. Its space group is P4/mmm (123). The energy above the most stable polymorph in this dataset comes out at 0.00 eV per formula unit. As for the total energy: -6.3059 eV per atom.

***

No. 2
The following is a DFT calculation (GGA+U) of a relaxed NbNiN2F crystal.

abc: 3.7610 3.7610 3.5331
angles: 90.00 90.00 90.00
With the nearest neighbours (Å) after each atom.
Element x y z (fractional)
1 Nb 0.0000 0.0000 0.0000  8 N 2.58, 4 F 2.66
2 Ni 0.5000 0.5000 0.5000  2 F 1.77, 4 N 1.88
3 N 0.0000 0.5000 0.5000  2 Ni 1.88
4 N 0.5000 0.0000 0.5000  2 Ni 1.88
5 F 0.5000 0.5000 0.0000  2 Ni 1.77

The spin magnetization is 0.00 Bohr magnetons per cell. Its space group is P4/mmm (123). The energy above the most stable polymorph in this dataset comes out at 2.51 eV per formula unit. As for the total energy: -5.8030 eV per atom.

***

No. 3
The following is a DFT calculation (GGA+U) of a relaxed NbNiNF2 crystal.

abc: 3.4014 3.4014 6.6061
angles: 90.00 90.00 90.00
With the nearest neighbours (Å) after each atom.
Element x y z (fractional)
1 Nb 0.0000 0.0000 0.0000  4 N 2.41
2 Ni 0.5000 0.5000 0.5000  4 F 1.70
3 N 0.5000 0.5000 0.0000  4 Nb 2.41
4 F 0.0000 0.5000 0.5000  2 Ni 1.70
5 F 0.5000 0.0000 0.5000  2 Ni 1.70

The spin magnetization is 1.79 Bohr magnetons per cell. Its space group is P4/mmm (123). The energy above the most stable polymorph in this dataset comes out at 2.84 eV per formula unit. As for the total energy: -5.3013 eV per atom.

***

No. 4
The following is a DFT calculation (GGA+U) of a relaxed NbNiNF2 crystal.

abc: 4.1330 4.1330 4.0525
angles: 90.00 90.00 90.00
With the nearest neighbours (Å) after each atom.
Element x y z (fractional)
1 Nb 0.0000 0.0000 0.0000  2 N 2.03, 4 F 2.07
2 Ni 0.5000 0.5000 0.5000  8 F 2.89, 4 N 2.92
3 N 0.0000 0.0000 0.5000  2 Nb 2.03
4 F 0.0000 0.5000 0.0000  2 Nb 2.07
5 F 0.5000 0.0000 0.0000  2 Nb 2.07

The spin magnetization is 1.02 Bohr magnetons per cell. Its space group is P4/mmm (123). The energy above the most stable polymorph in this dataset comes out at 0.00 eV per formula unit. As for the total energy: -5.8686 eV per atom.